## BaCeCr2O8 (PBE+U)

Data for BaCeCr2O8 after structural relaxation.

Summary:
total energy	-7.32	eV/atom
DOS(E_F)	0.7813	states/eV/atom

a = 5.7458 Å, b = 5.7458 Å, c = 7.6973 Å
α = 90.00°, β = 90.00°, γ = 120.00°
Space group P-3 (No. 147)
Asymmetric unit:
Ba (0.0000, 0.0000, 0.0000) x1
Ce (0.0000, 0.0000, 0.5000) x1
Cr (0.3333, 0.6667, 0.7706) x2
O (0.1672, 0.8298, 0.6968) x6
O (0.3333, 0.6667, 0.9863) x2